VASP calculation (GGA+U) on NaCoGeO4 after structural relaxation.

Results
Density in g/cm³: 3.89
Total magnetization in μB per formula unit: 2.021
Energy in eV per atom: -5.8057

Structure (CIF):
```
data_NaCoGeO4
_cell_length_a 5.4700
_cell_length_b 5.4700
_cell_length_c 6.2404
_cell_angle_alpha 90.00
_cell_angle_beta 90.00
_cell_angle_gamma 90.00
_space_group_name_H-M_alt 'I -4'
_space_group_IT_number 82
loop_
_space_group_symop_operation_xyz
'x,y,z'
'y,-x,-z'
'-x,-y,z'
'-y,x,-z'
'x+1/2,y+1/2,z+1/2'
'y+1/2,-x+1/2,-z+1/2'
'-x+1/2,-y+1/2,z+1/2'
'-y+1/2,x+1/2,-z+1/2'
loop_
_atom_site_label
_atom_site_fract_x
_atom_site_fract_y
_atom_site_fract_z
Na1 0.0000 0.0000 0.0000
Co1 0.0000 0.5000 0.2500
Ge1 0.0000 0.0000 0.5000
O1 0.1562 0.7812 0.3365
```